BeMoPd2I (PBE, optimized geometry); density = 6.23 Mg/m³; DOS at the Fermi energy = 3.53 states/eV/cell; space group = P4/mmm; E_form (uncorrected) = 1593 meV per atom
1.0
4.861 0.000 0.000
0.000 4.861 0.000
0.000 0.000 5.012
Be Mo Pd I
1 1 2 1
direct
0.000 0.000 0.000 Be
0.500 0.500 0.000 Mo
0.000 0.500 0.500 Pd
0.500 0.000 0.500 Pd
0.500 0.500 0.500 I